Entry 1:
The following is a SCAN calculation of Sr2CdCl at its PBEsol-relaxed geometry, from Alexandria.

Cell lengths 5.6429, 5.6429, 7.9464 Å; angles 90.00, 90.00, 90.00 degrees
With the nearest neighbours (Å) after each atom.
Space group I4/mmm (No. 139)
One atom of each set of equivalent atoms:
Sr 0.0000 0.5000 0.2500 x4  4 Cd 3.45, 4 Cl 3.45
Cd 0.0000 0.0000 0.0000 x2  8 Sr 3.45
Cl 0.0000 0.0000 0.5000 x2  8 Sr 3.45

Results
The value obtained for the total energy is -21.5678 eV per atom. The value obtained for the formation energy (no corrections) is -832 meV per atom. The value obtained for the density of states at the Fermi level is 7.98 states/eV per cell.

Entry 2:
The following is a SCAN calculation of Ta3CdCl at its PBEsol-relaxed geometry, from Alexandria.

Cell lengths 4.9826, 4.9826, 4.9826 Å; angles 90.00, 90.00, 90.00 degrees
With the nearest neighbours (Å) after each atom.
Space group Pm-3m (No. 221)
One atom of each set of equivalent atoms:
Ta 0.0000 0.0000 0.5000 x3  2 Cd 2.49
Cd 0.0000 0.0000 0.0000 x1  6 Ta 2.49
Cl 0.5000 0.5000 0.5000 x1  12 Ta 3.52

Results
The value obtained for the total energy is -45.0893 eV per atom. The value obtained for the formation energy (no corrections) is 2539 meV per atom. The value obtained for the density of states at the Fermi level is 5.33 states/eV per cell.

Entry 3:
The following is a SCAN calculation of TaCdCl2 at its PBEsol-relaxed geometry, from Alexandria.

Cell lengths 6.8476, 6.8476, 6.8476 Å; angles 90.00, 90.00, 90.00 degrees
With the nearest neighbours (Å) after each atom.
Space group F-43m (No. 216)
One atom of each set of equivalent atoms:
Ta 0.0000 0.0000 0.0000 x4  4 Cd 2.97, 4 Cl 2.97
Cd 0.2500 0.2500 0.2500 x4  4 Ta 2.97, 4 Cl 2.97
Cl 0.0000 0.0000 0.5000 x4  4 Cd 2.97, 4 Cl 2.97
Cl 0.2500 0.2500 0.7500 x4  4 Ta 2.97, 4 Cl 2.97

Results
The value obtained for the total energy is -27.5212 eV per atom. The value obtained for the formation energy (no corrections) is 717 meV per atom. The value obtained for the density of states at the Fermi level is 20.41 states/eV per cell.

Entry 4:
The following is a SCAN calculation of CdTe2Cl at its PBEsol-relaxed geometry, from Alexandria.

Cell lengths 4.2886, 4.2886, 23.2406 Å; angles 90.00, 90.00, 90.00 degrees
With the nearest neighbours (Å) after each atom.
Space group I-42d (No. 122)
One atom of each set of equivalent atoms:
Cd 0.0000 0.0000 0.0000 x4  4 Cl 3.03, 4 Te 3.26
Te 0.2409 0.2500 0.1250 x8  4 Te 2.98-3.09, 2 Cd 3.26, 2 Cl 3.29
Cl 0.0000 0.0000 0.5000 x4  4 Cd 3.03, 4 Te 3.29

Results
The value obtained for the total energy is -28.4074 eV per atom. The value obtained for the formation energy (no corrections) is -184 meV per atom. The value obtained for the density of states at the Fermi level is 4.99 states/eV per cell.

Entry 5:
The following is a SCAN calculation of CdTe2Cl at its PBEsol-relaxed geometry, from Alexandria.

Cell lengths 5.4247, 5.4247, 3.3060 Å; angles 90.00, 90.00, 90.00 degrees
With the nearest neighbours (Å) after each atom.
Space group P4/mmm (No. 123)
One atom of each set of equivalent atoms:
Cd 0.0000 0.0000 0.0000 x1  8 Te 3.18, 2 Cd 3.31
Te 0.0000 0.5000 0.5000 x2  4 Cd 3.18, 4 Cl 3.18, 2 Te 3.31
Cl 0.5000 0.5000 0.0000 x1  8 Te 3.18, 2 Cl 3.31

Results
The value obtained for the total energy is -28.0372 eV per atom. The value obtained for the formation energy (no corrections) is 186 meV per atom. The value obtained for the density of states at the Fermi level is 3.53 states/eV per cell.

Entry 6:
The following is a SCAN calculation of CdTe2Cl at its PBEsol-relaxed geometry, from Alexandria.

Cell lengths 3.5090, 3.5090, 8.3283 Å; angles 90.00, 90.00, 90.00 degrees
With the nearest neighbours (Å) after each atom.
Space group P4mm (No. 99)
One atom of each set of equivalent atoms:
Cd 0.0000 0.0000 0.0000 x1  4 Cl 2.85
Te 0.0000 0.0000 0.5151 x1  4 Te 3.11
Te 0.5000 0.5000 0.7410 x1  4 Te 3.11, 4 Cd 3.29
Cl 0.5000 0.5000 0.1688 x1  4 Cd 2.85

Results
The value obtained for the total energy is -28.3630 eV per atom. The value obtained for the formation energy (no corrections) is -139 meV per atom. The value obtained for the density of states at the Fermi level is 1.45 states/eV per cell.

Entry 7:
The following is a SCAN calculation of TlCdCl2 at its PBEsol-relaxed geometry, from Alexandria.

Cell lengths 3.5485, 4.4542, 12.8467 Å; angles 90.00, 90.00, 90.00 degrees
With the nearest neighbours (Å) after each atom.
Space group Imm2 (No. 44)
One atom of each set of equivalent atoms:
Tl 0.0000 0.0000 0.0000 x2  6 Cl 3.18-3.23, 2 Cd 3.31, 2 Tl 3.55
Cd 0.0000 0.5000 0.7178 x2  6 Cl 2.74-2.90
Cl 0.0000 0.0000 0.3807 x2  2 Cd 2.74
Cl 0.0000 0.5000 0.1769 x2  4 Cd 2.90, 2 Tl 3.18

Results
The value obtained for the total energy is -30.4443 eV per atom. The value obtained for the formation energy (no corrections) is -762 meV per atom. The value obtained for the density of states at the Fermi level is 2.72 states/eV per cell.

Entry 8:
The following is a SCAN calculation of TlCdCl2 at its PBEsol-relaxed geometry, from Alexandria.

Cell lengths 8.1457, 4.3038, 6.5557 Å; angles 90.00, 110.26, 90.00 degrees
With the nearest neighbours (Å) after each atom.
Space group C2/m (No. 12)
One atom of each set of equivalent atoms:
Tl 0.0000 0.0000 0.0000 x2  6 Cl 3.15
Cd 0.0000 0.5000 0.5000 x2  6 Cl 2.91-2.92
Cl 0.2400 0.0000 0.7133 x4  3 Cd 2.91-2.92, 3 Tl 3.15

Results
The value obtained for the total energy is -30.4016 eV per atom. The value obtained for the formation energy (no corrections) is -719 meV per atom. The value obtained for the density of states at the Fermi level is 3.37 states/eV per cell.

Entry 9:
The following is a SCAN calculation of TlCdCl at its PBEsol-relaxed geometry, from Alexandria.

Cell lengths 5.0367, 5.0827, 11.8391 Å; angles 90.00, 90.00, 90.00 degrees
With the nearest neighbours (Å) after each atom.
Space group Fmm2 (No. 42)
One atom of each set of equivalent atoms:
Tl 0.0000 0.0000 0.0000 x4  4 Cd 3.29-3.31, 4 Cl 3.33-3.35, 4 Tl 3.58
Cd 0.0000 0.0000 0.3211 x4  4 Cl 2.99-3.01, 4 Tl 3.29-3.31
Cl 0.0000 0.0000 0.6844 x4  4 Cd 2.99-3.01, 4 Tl 3.33-3.35

Results
The value obtained for the total energy is -37.4144 eV per atom. The value obtained for the formation energy (no corrections) is -497 meV per atom. The value obtained for the density of states at the Fermi level is 0.58 states/eV per cell.

Entry 10:
The following is a SCAN calculation of Cd4WCl at its PBEsol-relaxed geometry, from Alexandria.

Cell lengths 7.8526, 7.8526, 7.8526 Å; angles 90.00, 90.00, 90.00 degrees
With the nearest neighbours (Å) after each atom.
Space group F-43m (No. 216)
One atom of each set of equivalent atoms:
Cd 0.1242 0.1242 0.3758 x16  6 Cd 2.76-2.79
W 0.2500 0.2500 0.7500 x4  12 Cd 3.25, 4 Cl 3.40
Cl 0.0000 0.0000 0.0000 x4  12 Cd 3.26, 4 W 3.40

Results
The value obtained for the total energy is -32.4088 eV per atom. The value obtained for the formation energy (no corrections) is 812 meV per atom. The value obtained for the density of states at the Fermi level is 15.84 states/eV per cell.

Entry 11:
The following is a SCAN calculation of YCdCl at its PBEsol-relaxed geometry, from Alexandria.

Cell lengths 3.5333, 3.5333, 7.2560 Å; angles 90.00, 90.00, 120.00 degrees
With the nearest neighbours (Å) after each atom.
Space group P3m1 (No. 156)
One atom of each set of equivalent atoms:
Y 0.0000 0.0000 0.0000 x1  3 Cl 2.74
Cd 0.3333 0.6667 0.6752 x1  3 Y 3.12
Cl 0.6667 0.3333 0.2520 x1  3 Y 2.74

Results
The value obtained for the total energy is -23.0945 eV per atom. The value obtained for the formation energy (no corrections) is -1016 meV per atom. The value obtained for the density of states at the Fermi level is 1.68 states/eV per cell.

Entry 12:
The following is a SCAN calculation of Y4CdCl at its PBEsol-relaxed geometry, from Alexandria.

Cell lengths 8.9019, 8.9019, 8.9019 Å; angles 90.00, 90.00, 90.00 degrees
With the nearest neighbours (Å) after each atom.
Space group F-43m (No. 216)
One atom of each set of equivalent atoms:
Y 0.1232 0.1232 0.1232 x16  6 Y 3.10-3.19
Cd 0.2500 0.2500 0.7500 x4  12 Y 3.69, 4 Cl 3.85
Cl 0.0000 0.0000 0.5000 x4  12 Y 3.70, 4 Cd 3.85

Results
The value obtained for the total energy is -24.6726 eV per atom. The value obtained for the formation energy (no corrections) is 288 meV per atom. The value obtained for the density of states at the Fermi level is 28.07 states/eV per cell.

Which formula does entry 6 have?
CdTe2Cl